Entry 1:
# LuThRe4, optimized geometry, DFT PBE-GGA
data_LuThRe4
_cell_length_a 5.467
_cell_length_b 5.467
_cell_length_c 5.467
_cell_angle_alpha 60.00
_cell_angle_beta 60.00
_cell_angle_gamma 60.00
_space_group_name_H-M_alt 'P 1'
_space_group_IT_number 1
_space_group_name_Hall 'P 1'
loop_
_atom_site_label
_atom_site_fract_x
_atom_site_fract_y
_atom_site_fract_z
Re1 0.625 0.625 0.124
Re2 0.625 0.124 0.625
Re3 0.625 0.625 0.625
Re4 0.124 0.625 0.625
Lu1 0.000 0.000 0.000
Th1 0.250 0.250 0.250
# - formation energy (eV per atom) = -0.11

=====

Entry 2:
# PuSn2, optimized geometry, DFT PBE-GGA
data_PuSn2
_cell_length_a 6.112
_cell_length_b 6.112
_cell_length_c 6.112
_cell_angle_alpha 60.00
_cell_angle_beta 60.00
_cell_angle_gamma 60.00
_space_group_name_H-M_alt 'P 1'
_space_group_IT_number 1
_space_group_name_Hall 'P 1'
loop_
_atom_site_label
_atom_site_fract_x
_atom_site_fract_y
_atom_site_fract_z
Sn1 0.125 0.625 0.625
Sn2 0.625 0.125 0.625
Sn3 0.625 0.625 0.625
Sn4 0.625 0.625 0.125
Pu1 0.000 0.000 0.000
Pu2 0.250 0.250 0.250
# - formation energy (eV per atom) = -0.17

=====

Entry 3:
# NaCu2As2, optimized geometry, DFT PBE-GGA
data_NaCu2As2
_cell_length_a 7.609
_cell_length_b 7.609
_cell_length_c 2.901
_cell_angle_alpha 90.00
_cell_angle_beta 90.00
_cell_angle_gamma 90.00
_space_group_name_H-M_alt 'P 1'
_space_group_IT_number 1
_space_group_name_Hall 'P 1'
loop_
_atom_site_label
_atom_site_fract_x
_atom_site_fract_y
_atom_site_fract_z
Na1 0.000 0.000 0.000
Na2 0.500 0.500 0.000
As1 0.167 0.667 0.500
As2 0.667 0.833 0.500
As3 0.833 0.333 0.500
As4 0.333 0.167 0.500
Cu1 0.376 0.876 0.000
Cu2 0.876 0.624 0.000
Cu3 0.624 0.124 0.000
Cu4 0.124 0.376 0.000
# - formation energy (eV per atom) = -0.02

=====

Entry 4:
# MgAl2Sb, optimized geometry, DFT PBE-GGA
data_MgAl2Sb
_cell_length_a 4.944
_cell_length_b 4.944
_cell_length_c 4.944
_cell_angle_alpha 60.00
_cell_angle_beta 60.00
_cell_angle_gamma 60.00
_space_group_name_H-M_alt 'P 1'
_space_group_IT_number 1
_space_group_name_Hall 'P 1'
loop_
_atom_site_label
_atom_site_fract_x
_atom_site_fract_y
_atom_site_fract_z
Al1 0.000 0.000 0.000
Al2 0.250 0.250 0.250
Mg1 0.500 0.500 0.500
Sb1 0.750 0.750 0.750
# - E (eV per cell) = -12.7

=====

Entry 5:
# Te2POs, optimized geometry, DFT PBE-GGA
data_Te2POs
_cell_length_a 4.122
_cell_length_b 4.458
_cell_length_c 5.399
_cell_angle_alpha 77.18
_cell_angle_beta 90.00
_cell_angle_gamma 90.00
_space_group_name_H-M_alt 'P 1'
_space_group_IT_number 1
_space_group_name_Hall 'P 1'
loop_
_atom_site_label
_atom_site_fract_x
_atom_site_fract_y
_atom_site_fract_z
Te1 0.000 0.028 0.088
Te2 0.500 0.709 0.647
P1 0.500 0.273 0.366
Os1 0.000 0.490 0.399
# - E (eV per cell) = -21.9

=====

Entry 6:
# Be2SeCl, optimized geometry, DFT PBE-GGA
data_Be2SeCl
_cell_length_a 3.158
_cell_length_b 3.158
_cell_length_c 6.324
_cell_angle_alpha 90.00
_cell_angle_beta 90.00
_cell_angle_gamma 90.00
_space_group_name_H-M_alt 'P 1'
_space_group_IT_number 1
_space_group_name_Hall 'P 1'
loop_
_atom_site_label
_atom_site_fract_x
_atom_site_fract_y
_atom_site_fract_z
Be1 0.000 0.000 0.935
Be2 0.000 0.000 0.565
Se1 0.500 0.500 0.750
Cl1 0.500 0.500 0.250
# - E (eV per cell) = -11.3

=====

Entry 7:
# Mn4RePt, optimized geometry, DFT PBE-GGA
data_Mn4RePt
_cell_length_a 4.702
_cell_length_b 4.702
_cell_length_c 4.702
_cell_angle_alpha 60.00
_cell_angle_beta 60.00
_cell_angle_gamma 60.00
_space_group_name_H-M_alt 'P 1'
_space_group_IT_number 1
_space_group_name_Hall 'P 1'
loop_
_atom_site_label
_atom_site_fract_x
_atom_site_fract_y
_atom_site_fract_z
Mn1 0.624 0.624 0.129
Mn2 0.624 0.129 0.624
Mn3 0.624 0.624 0.624
Mn4 0.129 0.624 0.624
Re1 0.000 0.000 0.000
Pt1 0.250 0.250 0.250
# - formation energy (eV per atom) = -0.04

=====

Entry 8:
# TlP3, optimized geometry, DFT PBE-GGA
data_TlP3
_cell_length_a 4.787
_cell_length_b 4.991
_cell_length_c 7.509
_cell_angle_alpha 90.00
_cell_angle_beta 90.00
_cell_angle_gamma 90.00
_space_group_name_H-M_alt 'P 1'
_space_group_IT_number 1
_space_group_name_Hall 'P 1'
loop_
_atom_site_label
_atom_site_fract_x
_atom_site_fract_y
_atom_site_fract_z
Tl1 0.000 0.582 0.000
Tl2 0.500 0.418 0.500
P1 0.500 0.297 0.000
P2 0.000 0.703 0.500
P3 0.000 0.963 0.264
P4 0.000 0.963 0.736
P5 0.500 0.037 0.764
P6 0.500 0.037 0.236
# - formation energy (eV per atom) = 0.18

=====

Entry 9:
# HfCd3Br, optimized geometry, DFT PBE-GGA
data_HfCd3Br
_cell_length_a 5.361
_cell_length_b 5.361
_cell_length_c 5.361
_cell_angle_alpha 90.00
_cell_angle_beta 90.00
_cell_angle_gamma 90.00
_space_group_name_H-M_alt 'P 1'
_space_group_IT_number 1
_space_group_name_Hall 'P 1'
loop_
_atom_site_label
_atom_site_fract_x
_atom_site_fract_y
_atom_site_fract_z
Hf1 0.500 0.500 0.500
Br1 0.000 0.000 0.000
Cd1 0.000 0.500 0.000
Cd2 0.000 0.000 0.500
Cd3 0.500 0.000 0.000
# - E (eV per cell) = -9.2

=====

Entry 10:
# AgRhBr2, optimized geometry, DFT PBE-GGA
data_AgRhBr2
_cell_length_a 3.394
_cell_length_b 4.837
_cell_length_c 4.837
_cell_angle_alpha 90.00
_cell_angle_beta 90.00
_cell_angle_gamma 90.00
_space_group_name_H-M_alt 'P 1'
_space_group_IT_number 1
_space_group_name_Hall 'P 1'
loop_
_atom_site_label
_atom_site_fract_x
_atom_site_fract_y
_atom_site_fract_z
Rh1 0.500 0.500 0.000
Br1 0.000 0.000 0.000
Br2 0.000 0.500 0.500
Ag1 0.500 0.000 0.500
# - E (eV per cell) = -12.1

=====

Entry 11:
# LiCdPd5, optimized geometry, DFT PBE-GGA
data_LiCdPd5
_cell_length_a 4.955
_cell_length_b 4.955
_cell_length_c 10.528
_cell_angle_alpha 90.00
_cell_angle_beta 90.00
_cell_angle_gamma 65.49
_space_group_name_H-M_alt 'P 1'
_space_group_IT_number 1
_space_group_name_Hall 'P 1'
loop_
_atom_site_label
_atom_site_fract_x
_atom_site_fract_y
_atom_site_fract_z
Li1 0.378 0.622 0.750
Li2 0.622 0.378 0.250
Cd1 0.000 0.000 0.000
Cd2 0.000 0.000 0.500
Pd1 0.411 0.141 0.881
Pd2 0.589 0.859 0.381
Pd3 0.141 0.411 0.381
Pd4 0.907 0.093 0.750
Pd5 0.141 0.411 0.119
Pd6 0.859 0.589 0.881
Pd7 0.093 0.907 0.250
Pd8 0.859 0.589 0.619
Pd9 0.411 0.141 0.619
Pd10 0.589 0.859 0.119
# - formation energy (eV per atom) = -0.17

=====

Entry 12:
# NaCu2Au2, optimized geometry, DFT PBE-GGA
data_NaCu2Au2
_cell_length_a 7.746
_cell_length_b 7.746
_cell_length_c 2.817
_cell_angle_alpha 90.00
_cell_angle_beta 90.00
_cell_angle_gamma 90.00
_space_group_name_H-M_alt 'P 1'
_space_group_IT_number 1
_space_group_name_Hall 'P 1'
loop_
_atom_site_label
_atom_site_fract_x
_atom_site_fract_y
_atom_site_fract_z
Na1 0.000 0.000 0.000
Na2 0.500 0.500 0.000
Au1 0.180 0.680 0.500
Au2 0.680 0.820 0.500
Au3 0.820 0.320 0.500
Au4 0.320 0.180 0.500
Cu1 0.385 0.885 0.000
Cu2 0.885 0.615 0.000
Cu3 0.615 0.115 0.000
Cu4 0.115 0.385 0.000
# - formation energy (eV per atom) = -0.13

=====

Entry 13:
# LuBiPt, optimized geometry, DFT PBE-GGA
data_LuBiPt
_cell_length_a 3.493
_cell_length_b 3.493
_cell_length_c 6.438
_cell_angle_alpha 105.74
_cell_angle_beta 105.74
_cell_angle_gamma 90.00
_space_group_name_H-M_alt 'P 1'
_space_group_IT_number 1
_space_group_name_Hall 'P 1'
loop_
_atom_site_label
_atom_site_fract_x
_atom_site_fract_y
_atom_site_fract_z
Lu1 0.315 0.315 0.631
Bi1 0.606 0.606 0.212
Pt1 0.928 0.928 0.857
# - formation energy (eV per atom) = -0.73

=====

Entry 14:
# Zn2InP, optimized geometry, DFT PBE-GGA
data_Zn2InP
_cell_length_a 6.723
_cell_length_b 6.723
_cell_length_c 6.723
_cell_angle_alpha 32.86
_cell_angle_beta 32.86
_cell_angle_gamma 32.86
_space_group_name_H-M_alt 'P 1'
_space_group_IT_number 1
_space_group_name_Hall 'P 1'
loop_
_atom_site_label
_atom_site_fract_x
_atom_site_fract_y
_atom_site_fract_z
Zn1 0.727 0.727 0.727
Zn2 0.273 0.273 0.273
In1 0.500 0.500 0.500
P1 0.000 0.000 0.000
# - formation energy (eV per atom) = 0.05

=====

We obtain volume values of 19.26; 26.91; 16.80; 21.36; 24.19; 15.77; 12.25; 22.43; 30.82; 19.85; 16.80; 16.90; 24.18; 19.91 Å³/atom for the records listed above, in that order.